DFT (PBE) results for crystalline ZrAg3 at its relaxed geometry.

As for the energy relative to the elements: 0.13 eV/atom.

The structure belongs to space group Pm-3n (No. 223); the cell edges are 5.367, 5.367 and 5.367 Å and the angles 90.00°, 90.00° and 90.00°. The distinct sites, in fractional coordinates, are Zr at (0.000, 0.000, 0.000) and Ag at (0.000, 0.250, 0.500).